No. 1
HoZn4Au | PBE | relaxed

Energy relative to the lowest polymorph listed for this composition (kcal/mol of atoms): 0.000
DOS(E_F) (states/eV/f.u.): 3.49

a b c (Å): 4.047 16.086 6.726
angles (deg): 90.00 90.00 90.00
Space group Cmcm (No. 63)
Asymmetric unit:
Ho (0.000, 0.117, 0.250) [4 per cell]
Zn (0.000, 0.070, 0.750) [4 per cell]
Zn (0.000, 0.337, 0.058) [8 per cell]
Zn (0.000, 0.500, 0.000) [4 per cell]
Au (0.000, 0.238, 0.750) [4 per cell]

=====

No. 2
Ho4ZnAu7 | PBE | relaxed

DOS(E_F) (states/eV/f.u.): 7.04

a b c (Å): 14.206 5.010 8.975
angles (deg): 90.00 123.08 90.00
Space group C2/m (No. 12)
Asymmetric unit:
Ho (0.063, 0.000, 0.244) [4 per cell]
Ho (0.237, 0.000, 0.757) [4 per cell]
Zn (0.000, 0.500, 0.500) [2 per cell]
Au (0.000, 0.000, 0.500) [2 per cell]
Au (0.080, 0.500, 0.850) [4 per cell]
Au (0.178, 0.000, 0.051) [4 per cell]
Au (0.187, 0.500, 0.489) [4 per cell]

=====

No. 3
Ho2ZnAu | PBE | relaxed

DOS(E_F) (states/eV/f.u.): 2.84

a b c (Å): 3.594 3.594 7.022
angles (deg): 90.00 90.00 90.00
Space group P4/mmm (No. 123)
Asymmetric unit:
Ho (0.000, 0.000, 0.249) [2 per cell]
Zn (0.500, 0.500, 0.000) [1 per cell]
Au (0.500, 0.500, 0.500) [1 per cell]

=====

No. 4
Ho2ZnAu | PBE | relaxed

DOS(E_F) (states/eV/f.u.): 3.08

a b c (Å): 7.143 7.143 7.143
angles (deg): 90.00 90.00 90.00
Space group Fm-3m (No. 225)
Asymmetric unit:
Ho (0.250, 0.250, 0.250) [8 per cell]
Zn (0.000, 0.000, 0.000) [4 per cell]
Au (0.000, 0.000, 0.500) [4 per cell]

=====

No. 5
Ho3Zn2Au4 | PBE | relaxed

DOS(E_F) (states/eV/f.u.): 4.92

a b c (Å): 10.531 4.572 8.764
angles (deg): 90.00 116.86 90.00
Space group C2/m (No. 12)
Asymmetric unit:
Ho (0.000, 0.000, 0.000) [2 per cell]
Ho (0.153, 0.500, 0.684) [4 per cell]
Zn (0.141, 0.500, 0.312) [4 per cell]
Au (0.074, 0.000, 0.398) [4 per cell]
Au (0.216, 0.500, 0.068) [4 per cell]

=====

No. 6
HoZnAu3 | PBE | relaxed

DOS(E_F) (states/eV/f.u.): 1.95

a b c (Å): 8.683 4.368 10.618
angles (deg): 90.00 90.00 90.00
Space group Pnma (No. 62)
Asymmetric unit:
Ho (0.199, 0.250, 0.001) [4 per cell]
Zn (0.114, 0.250, 0.348) [4 per cell]
Au (0.059, 0.250, 0.590) [4 per cell]
Au (0.088, 0.750, 0.835) [4 per cell]
Au (0.147, 0.750, 0.197) [4 per cell]

=====

Number 1: energy relative to the elements -0.3196 eV per atom. Number 2: energy relative to the elements -0.6716 eV per atom. Number 3: energy relative to the elements -0.6157 eV per atom. Number 4: energy relative to the elements -0.6053 eV per atom. Number 5: energy relative to the elements -0.7246 eV per atom. Number 6: energy relative to the elements -0.5384 eV per atom.